AlFeIr | GGA-PBEsol | relaxed

Lattice parameters (Å, degrees): 3.9212 3.9212 3.9212 60.00 60.00 60.00
Fractional positions:
1 Al 0.0000 0.0000 0.0000
2 Fe 0.7500 0.7500 0.7500
3 Ir 0.5000 0.5000 0.5000

Computed properties:
mass density: 10.71 g cm⁻³
ΔE_f: -0.06 eV per atom

=====

MnNiTe | GGA-PBEsol | relaxed

Lattice parameters (Å, degrees): 4.1700 4.1700 4.1700 60.00 60.00 60.00
Fractional positions:
1 Mn 0.0000 0.0000 0.0000
2 Ni 0.2500 0.2500 0.2500
3 Te 0.5000 0.5000 0.5000

Computed properties:
E_form (uncorrected): -0.1 eV/f.u.
mass density: 7.81 g cm⁻³

=====

CuMoAu2 | GGA-PBEsol | relaxed

Lattice parameters (Å, degrees): 5.5179 5.5179 5.5179 151.46 129.43 59.09
Fractional positions:
1 Cu 0.0000 0.0000 0.0000
2 Mo 0.2277 0.7277 0.5000
3 Au 0.4932 0.4932 0.0000
4 Au 0.7695 0.2695 0.5000

Computed properties:
E above lowest polymorph: 0.103 eV/atom
mass density: 14.93 g cm⁻³
ΔE_f: 0.30 eV per atom

=====

Ho2Ga9Co3 | GGA-PBEsol | relaxed

Lattice parameters (Å, degrees): 7.2312 7.2312 9.2420 90.00 90.00 60.27
Fractional positions:
1 Ho 0.0029 0.6686 0.7500
2 Ho 0.3314 0.9971 0.7500
3 Ho 0.6686 0.0029 0.2500
4 Ho 0.9971 0.3314 0.2500
5 Ga 0.0000 0.3343 0.5721
6 Ga 0.0000 0.3343 0.9279
7 Ga 0.0000 0.6657 0.0721
8 Ga 0.0000 0.6657 0.4279
9 Ga 0.1208 0.8792 0.2500
10 Ga 0.3334 0.6666 0.5586
11 Ga 0.3334 0.6666 0.9414
12 Ga 0.3343 0.0000 0.0721
13 Ga 0.3343 0.0000 0.4279
14 Ga 0.3366 0.4490 0.2500
15 Ga 0.4490 0.3366 0.7500
16 Ga 0.5510 0.6634 0.2500
17 Ga 0.6634 0.5510 0.7500
18 Ga 0.6657 0.0000 0.5721
19 Ga 0.6657 0.0000 0.9279
20 Ga 0.6666 0.3334 0.0586
21 Ga 0.6666 0.3334 0.4414
22 Ga 0.8792 0.1208 0.7500
23 Co 0.0000 0.0000 0.0000
24 Co 0.0000 0.0000 0.5000
25 Co 0.3291 0.3291 0.0000
26 Co 0.3291 0.3291 0.5000
27 Co 0.6709 0.6709 0.0000
28 Co 0.6709 0.6709 0.5000

Computed properties:
mass density: 8.98 g cm⁻³
ΔE_f: -0.55 eV per atom

=====

LaAg3Rh | GGA-PBEsol | relaxed

Lattice parameters (Å, degrees): 4.9370 4.9370 4.9370 90.00 90.00 90.00
Fractional positions:
1 La 0.0000 0.0000 0.0000
2 Ag 0.0000 0.5000 0.5000
3 Ag 0.5000 0.0000 0.5000
4 Ag 0.5000 0.5000 0.0000
5 Rh 0.5000 0.5000 0.5000

Computed properties:
mass density: 7.80 g cm⁻³
ΔE_f: 0.40 eV per atom

=====

Be4AlW | GGA-PBEsol | relaxed

Lattice parameters (Å, degrees): 4.4132 4.4132 4.4132 60.00 60.00 60.00
Fractional positions:
1 Be 0.1214 0.1214 0.1214
2 Be 0.1214 0.1214 0.6359
3 Be 0.1214 0.6359 0.1214
4 Be 0.6359 0.1214 0.1214
5 Al 0.5000 0.5000 0.5000
6 W 0.7500 0.7500 0.7500

Computed properties:
mass density: 6.75 g cm⁻³
ΔE_f: 0.01 eV per atom

=====

CrCdPt2 | GGA-PBEsol | relaxed

Lattice parameters (Å, degrees): 4.0488 4.0488 3.7912 90.00 90.00 90.00
Fractional positions:
1 Cr 0.0000 0.0000 0.0000
2 Cd 0.5000 0.5000 0.0000
3 Pt 0.0000 0.5000 0.5000
4 Pt 0.5000 0.0000 0.5000

Computed properties:
mass density: 14.82 g cm⁻³
ΔE_f: -0.12 eV per atom

=====

ScPS4 | GGA-PBEsol | relaxed

Lattice parameters (Å, degrees): 6.1526 6.3897 6.7543 86.36 87.91 81.36
Fractional positions:
1 Sc 0.2032 0.1978 0.0625
2 Sc 0.7968 0.8022 0.9375
3 P 0.3141 0.7626 0.8120
4 P 0.6859 0.2374 0.1880
5 S 0.0839 0.0256 0.7475
6 S 0.1205 0.5303 0.7873
7 S 0.4016 0.7844 0.1002
8 S 0.4134 0.2648 0.3628
9 S 0.5866 0.7352 0.6372
10 S 0.5984 0.2156 0.8998
11 S 0.8795 0.4697 0.2127
12 S 0.9161 0.9744 0.2525

Computed properties:
E_form (uncorrected): -5.7 eV/f.u.
mass density: 2.59 g cm⁻³

=====

Be2FeCu | GGA-PBEsol | relaxed

Lattice parameters (Å, degrees): 3.6092 3.6092 2.7379 90.00 90.00 90.00
Fractional positions:
1 Be 0.0000 0.5000 0.0000
2 Be 0.5000 0.0000 0.0000
3 Fe 0.0000 0.0000 0.5000
4 Cu 0.5000 0.5000 0.5000

Computed properties:
mass density: 6.40 g cm⁻³
ΔE_f: -0.15 eV per atom

=====

MgFeCo2 | GGA-PBEsol | relaxed

Lattice parameters (Å, degrees): 8.2531 8.2531 8.2531 18.39 18.39 18.39
Fractional positions:
1 Mg 0.0000 0.0000 0.0000
2 Fe 0.5000 0.5000 0.5000
3 Co 0.2434 0.2434 0.2434
4 Co 0.7566 0.7566 0.7566

Computed properties:
mass density: 6.73 g cm⁻³
ΔE_f: 0.26 eV per atom

=====

HfZr3N | GGA-PBEsol | relaxed

Lattice parameters (Å, degrees): 4.5017 4.5017 4.5017 90.00 90.00 90.00
Fractional positions:
1 Hf 0.0000 0.0000 0.0000
2 Zr 0.0000 0.5000 0.5000
3 Zr 0.5000 0.0000 0.5000
4 Zr 0.5000 0.5000 0.0000
5 N 0.5000 0.5000 0.5000

Computed properties:
E_form (uncorrected): -4.0 eV/f.u.
mass density: 8.49 g cm⁻³

=====

SrZr4Re | GGA-PBEsol | relaxed

Lattice parameters (Å, degrees): 5.7122 5.7122 5.7122 60.00 60.00 60.00
Fractional positions:
1 Sr 0.0000 0.0000 0.0000
2 Zr 0.1316 0.6228 0.6228
3 Zr 0.6228 0.1316 0.6228
4 Zr 0.6228 0.6228 0.1316
5 Zr 0.6228 0.6228 0.6228
6 Re 0.2500 0.2500 0.2500

Computed properties:
mass density: 8.05 g cm⁻³
ΔE_f: 0.79 eV per atom

=====

no.,density of states at the Fermi level (states/eV/f.u.)
1,2.62
2,1.36
3,3.06
4,5.75
5,2.43
6,3.85
7,2.71
8,0.00
9,2.30
10,4.17
11,4.31
12,10.28